{
  "formula": "Pu4IrPd2",
  "functional": "GGA-PBE",
  "state": "optimized geometry",
  "m_tot_mub_per_fu": 0.00,
  "dft_energy_ev_per_cell": -157.7,
  "lattice": [[6.041, -4.366, 0.000], [6.041, 4.366, 0.000], [-5.938, 0.000, 6.107]],
  "species": ["Pu", "Pu", "Pu", "Pu", "Pu", "Pu", "Pu", "Pu", "Ir", "Ir", "Pd", "Pd", "Pd", "Pd"],
  "fractional_positions": [[0.076, 0.578, 0.260], [0.077, 0.077, 0.258], [0.207, 0.445, 0.896], [0.422, 0.924, 0.740], [0.548, 0.290, 0.603], [0.555, 0.793, 0.104], [0.710, 0.452, 0.397], [0.923, 0.923, 0.742], [0.188, 0.557, 0.624], [0.443, 0.812, 0.376], [0.317, 0.187, 0.118], [0.698, 0.302, 0.000], [0.813, 0.683, 0.882], [0.929, 0.071, 0.500]]
}